A relaxed AcRhSe crystal, computed with GGA-PBE.

Output
E above lowest polymorph = 146 meV/atom

a b c (Å): 5.919 5.938 9.191
angles (deg): 109.52 90.00 90.00
Fractional coordinates of all 12 atoms:
Ac: 0.758 0.746 0.110
Ac: 0.742 0.746 0.610
Ac: 0.242 0.254 0.890
Ac: 0.258 0.254 0.390
Rh: 0.288 0.839 0.011
Rh: 0.712 0.161 0.989
Rh: 0.788 0.161 0.489
Rh: 0.212 0.839 0.511
Se: 0.254 0.686 0.229
Se: 0.746 0.314 0.771
Se: 0.246 0.686 0.729
Se: 0.754 0.314 0.271

=====

A relaxed SmEuDySn crystal, computed with GGA-PBE.

Output
Energy relative to the elements = -0.250 eV/atom

a b c (Å): 5.501 5.501 5.501
angles (deg): 60.00 60.00 60.00
Site moments in Bohr magnetons follow the coordinates.
Fractional coordinates of all 4 atoms:
Eu: 0.750 0.750 0.750  6.96
Sn: 0.250 0.250 0.250  -0.03
Sm: 0.000 0.000 0.000  0.16
Dy: 0.500 0.500 0.500  0.22

=====

A relaxed FeTeMoH crystal, computed with GGA-PBE.

Output
E above lowest polymorph = 173 meV/atom

a b c (Å): 3.661 3.877 4.609
angles (deg): 71.71 79.51 87.66
Site moments in Bohr magnetons follow the coordinates.
Fractional coordinates of all 4 atoms:
Fe: 0.400 0.296 0.631  1.09
Te: 0.782 0.234 0.075  -0.01
Mo: 0.010 0.878 0.623  -0.10
H: 0.264 0.639 0.362  -0.01

=====

A relaxed Li4TbSi4 crystal, computed with GGA-PBE.

Output
E = -35.8 eV per formula unit

a b c (Å): 5.931 5.931 8.527
angles (deg): 90.00 90.00 90.00
Fractional coordinates of all 18 atoms:
Li: 0.244 0.500 0.910
Li: 0.756 0.500 0.910
Li: 0.500 0.756 0.090
Li: 0.500 0.244 0.090
Li: 0.000 0.744 0.410
Li: 0.000 0.256 0.410
Li: 0.256 0.000 0.590
Li: 0.744 0.000 0.590
Tb: 0.000 0.000 0.000
Tb: 0.500 0.500 0.500
Si: 0.500 0.801 0.790
Si: 0.500 0.199 0.790
Si: 0.801 0.500 0.210
Si: 0.199 0.500 0.210
Si: 0.301 0.000 0.290
Si: 0.699 0.000 0.290
Si: 0.000 0.301 0.710
Si: 0.000 0.699 0.710